# GGA-PBEsol VFeSbO6, optimized geometry
data_VFeSbO6
_chemical_formula_sum 'V2 Fe2 Sb2 O12'
_symmetry_space_group_name_H-M 'P 42 n m'
_symmetry_Int_Tables_number 102
_symmetry_space_group_name_Hall 'P 4n -2n'
_cell_length_a 4.569
_cell_length_b 4.569
_cell_length_c 9.102
_cell_angle_alpha 90.00
_cell_angle_beta 90.00
_cell_angle_gamma 90.00
loop_
_atom_site_label
_atom_site_type_symbol
_atom_site_fract_x
_atom_site_fract_y
_atom_site_fract_z
V1 V 0.000 0.000 0.000
Fe1 Fe 0.000 0.000 0.667
Sb1 Sb 0.000 0.000 0.333
O1 O 0.192 0.192 0.838
O2 O 0.194 0.194 0.159
O3 O 0.206 0.206 0.499
# density of states at the Fermi level: 0.410 states/eV per atom
# VASP energy: -0.569 Ry per atom
# spin magnetization: 5.06 μB per formula unit
# formation energy (no corrections): -1.667 eV per atom